Run i
Entry from OQMD: a relaxed structure of Zr4Sc3 (PBE-GGA).

The magnetization comes out at 0.00 μB/cell.

The space group is P6_3/m (No. 176) and the conventional cell measures 8.5575, 8.5575 and 5.1502 Å, with angles of 90.00, 90.00 and 120.00 degrees. Symmetry generates all atoms from Zr at (0.0486, 0.2364, 0.2500), Zr at (0.3333, 0.6667, 0.2500) and Sc at (0.0930, 0.4720, 0.7500).

=====

Run ii
Entry from OQMD: a relaxed structure of Zr4Sc3 (PBE-GGA).

The magnetization comes out at 0.01 μB/cell.

The space group is P6_3/m (No. 176) and the conventional cell measures 8.5876, 8.5876 and 5.1422 Å, with angles of 90.00, 90.00 and 120.00 degrees. Symmetry generates all atoms from Zr at (0.0981, 0.4826, 0.2500), Zr at (0.3333, 0.6667, 0.7500) and Sc at (0.0469, 0.2414, 0.7500).

=====

Winner for stability: run i

=====

Run i
Entry from OQMD: a relaxed structure of SmTeSe2 (PBE-GGA).

The magnetization comes out at 0.02 μB/cell.

The space group is Cmcm (No. 63) and the conventional cell measures 4.081, 26.623 and 4.082 Å, with angles of 90.00, 90.00 and 90.00 degrees. Symmetry generates all atoms from Sm at (0.000, 0.162, 0.250), Te at (0.000, 0.292, 0.250), Se at (0.000, 0.077, 0.750) and Se at (0.000, 0.423, 0.750).

=====

Run ii
Entry from OQMD: a relaxed structure of SmTeSe2 (PBE-GGA).

The magnetization comes out at 0.03 μB/cell.

The space group is Cmcm (No. 63) and the conventional cell measures 4.129, 25.808 and 4.074 Å, with angles of 90.00, 90.00 and 90.00 degrees. Symmetry generates all atoms from Sm at (0.000, 0.176, 0.250), Te at (0.000, 0.426, 0.750), Se at (0.000, 0.082, 0.750) and Se at (0.000, 0.294, 0.250).

=====

Winner for stability: run ii

=====

Run i
Entry from OQMD: a relaxed structure of TmTlSnSe3 (PBE-GGA).

The magnetization comes out at 0.00 μB/cell.

The space group is Pnma (No. 62) and the conventional cell measures 14.837, 4.115 and 12.189 Å, with angles of 90.00, 90.00 and 90.00 degrees. Symmetry generates all atoms from Tm at (0.004, 0.250, 0.145), Tl at (0.232, 0.750, 0.592), Sn at (0.046, 0.750, 0.406), Se at (0.091, 0.250, 0.739), Se at (0.106, 0.750, 0.041) and Se at (0.142, 0.250, 0.312).

=====

Run ii
Entry from OQMD: a relaxed structure of TmTlSnSe3 (PBE-GGA).

The magnetization comes out at 0.00 μB/cell.

The space group is Cmcm (No. 63) and the conventional cell measures 4.073, 16.081 and 11.445 Å, with angles of 90.00, 90.00 and 90.00 degrees. Symmetry generates all atoms from Tm at (0.000, 0.000, 0.000), Tl at (0.000, 0.303, 0.250), Sn at (0.000, 0.373, 0.750), Se at (0.000, 0.010, 0.250) and Se at (0.000, 0.379, 0.006).

=====

Winner for stability: run i

=====

Run i
Entry from OQMD: a relaxed structure of TmZrTlSe3 (PBE-GGA).

The magnetization comes out at 0.51 μB/cell.

The space group is Cmcm (No. 63) and the conventional cell measures 3.888, 14.908 and 11.137 Å, with angles of 90.00, 90.00 and 90.00 degrees. Symmetry generates all atoms from Tm at (0.000, 0.000, 0.000), Zr at (0.000, 0.403, 0.250), Tl at (0.000, 0.261, 0.750), Se at (0.000, 0.030, 0.250) and Se at (0.000, 0.363, 0.019).

=====

Run ii
Entry from OQMD: a relaxed structure of TmZrTlSe3 (PBE-GGA).

The magnetization comes out at 0.07 μB/cell.

The space group is Cmcm (No. 63) and the conventional cell measures 3.892, 14.815 and 10.918 Å, with angles of 90.00, 90.00 and 90.00 degrees. Symmetry generates all atoms from Tm at (0.000, 0.084, 0.250), Zr at (0.000, 0.500, 0.000), Tl at (0.000, 0.233, 0.750), Se at (0.000, 0.132, 0.010) and Se at (0.000, 0.454, 0.250).

=====

Winner for stability: run i

=====

Run i
Entry from OQMD: a relaxed structure of ZrTl2Se3 (PBE-GGA).

The magnetization comes out at 0.01 μB/cell.

The space group is P2_1/m (No. 11) and the conventional cell measures 8.144, 3.952 and 10.841 Å, with angles of 90.00, 96.55 and 90.00 degrees. Symmetry generates all atoms from Zr at (0.091, 0.250, 0.166), Tl at (0.246, 0.750, 0.496), Tl at (0.434, 0.250, 0.844), Se at (0.052, 0.250, 0.711), Se at (0.193, 0.750, 0.014) and Se at (0.372, 0.250, 0.307).

=====

Run ii
Entry from OQMD: a relaxed structure of ZrTl2Se3 (PBE-GGA).

The magnetization comes out at 0.01 μB/cell.

The space group is Pnma (No. 62) and the conventional cell measures 15.554, 3.901 and 11.869 Å, with angles of 90.00, 90.00 and 90.00 degrees. Symmetry generates all atoms from Zr at (0.070, 0.250, 0.126), Tl at (0.085, 0.250, 0.628), Tl at (0.222, 0.750, 0.363), Se at (0.054, 0.250, 0.888), Se at (0.067, 0.250, 0.347) and Se at (0.190, 0.750, 0.103).

=====

Winner for stability: run i

=====

Run i
Entry from OQMD: a relaxed structure of WSe3 (PBE-GGA).

The magnetization comes out at 0.01 μB/cell.

The space group is P2_1/c (No. 14) and the conventional cell measures 6.791, 5.744 and 12.337 Å, with angles of 90.00, 115.96 and 90.00 degrees. Symmetry generates all atoms from W at (0.070, 0.005, 0.266), Se at (0.001, 0.747, 0.587), Se at (0.296, 0.719, 0.403) and Se at (0.298, 0.210, 0.740).

=====

Run ii
Entry from OQMD: a relaxed structure of WSe3 (PBE-GGA).

The magnetization comes out at 0.03 μB/cell.

The space group is R-3c (No. 167, hexagonal axes) and the conventional cell measures 6.2868, 6.2868 and 16.1272 Å, with angles of 90.00, 90.00 and 120.00 degrees. Symmetry generates all atoms from W at (0.0000, 0.0000, 0.0000) and Se at (0.0000, 0.3302, 0.2500).

=====

Winner for stability: run i

=====

Run i
Entry from OQMD: a relaxed structure of WSe (PBE-GGA).

The magnetization comes out at 0.01 μB/cell.

The space group is P6_3/mmc (No. 194) and the conventional cell measures 4.0605, 4.0605 and 5.1653 Å, with angles of 90.00, 90.00 and 120.00 degrees. Symmetry generates all atoms from W at (0.0000, 0.0000, 0.0000) and Se at (0.3333, 0.6667, 0.2500).

=====

Run ii
Entry from OQMD: a relaxed structure of WSe (PBE-GGA).

The magnetization comes out at 1.17 μB/cell.

The space group is Fm-3m (No. 225) and the conventional cell measures 5.228, 5.228 and 5.228 Å, with angles of 90.00, 90.00 and 90.00 degrees. Symmetry generates all atoms from W at (0.000, 0.000, 0.000) and Se at (0.000, 0.000, 0.500).

=====

Winner for stability: run i

=====

Run i
Entry from OQMD: a relaxed structure of SmSi2Tc2 (PBE-GGA).

The magnetization comes out at 0.07 μB/cell.

The space group is I4/mmm (No. 139) and the conventional cell measures 4.126, 4.126 and 10.333 Å, with angles of 90.00, 90.00 and 90.00 degrees. Symmetry generates all atoms from Sm at (0.000, 0.000, 0.000), Si at (0.000, 0.000, 0.377) and Tc at (0.000, 0.500, 0.250).

=====

Run ii
Entry from OQMD: a relaxed structure of SmSi2Tc2 (PBE-GGA).

The magnetization comes out at 0.00 μB/cell.

The space group is Imma (No. 74) and the conventional cell measures 4.109, 4.155 and 20.736 Å, with angles of 90.00, 90.00 and 90.00 degrees. Symmetry generates all atoms from Sm at (0.000, 0.250, 0.164), Si at (0.000, 0.250, 0.606), Si at (0.000, 0.250, 0.722), Tc at (0.000, 0.250, 0.461) and Tc at (0.000, 0.250, 0.963).

=====

Winner for stability: run i

=====

Run i
Entry from OQMD: a relaxed structure of SmTlSi (PBE-GGA).

The magnetization comes out at 0.00 μB/cell.

The space group is F-43m (No. 216) and the conventional cell measures 7.059, 7.059 and 7.059 Å, with angles of 90.00, 90.00 and 90.00 degrees. Symmetry generates all atoms from Sm at (0.000, 0.000, 0.000), Tl at (0.250, 0.250, 0.250) and Si at (0.250, 0.250, 0.750).

=====

Run ii
Entry from OQMD: a relaxed structure of SmTlSi (PBE-GGA).

The magnetization comes out at 0.07 μB/cell.

The space group is F-43m (No. 216) and the conventional cell measures 6.862, 6.862 and 6.862 Å, with angles of 90.00, 90.00 and 90.00 degrees. Symmetry generates all atoms from Sm at (0.000, 0.000, 0.000), Tl at (0.000, 0.000, 0.500) and Si at (0.250, 0.250, 0.250).

=====

Winner for stability: run ii

=====

Run i
Entry from OQMD: a relaxed structure of Ta2Si2Tc (PBE-GGA).

The magnetization comes out at 0.00 μB/cell.

The space group is P4/mbm (No. 127) and the conventional cell measures 6.286, 6.286 and 3.869 Å, with angles of 90.00, 90.00 and 90.00 degrees. Symmetry generates all atoms from Ta at (0.165, 0.335, 0.000), Si at (0.137, 0.637, 0.500) and Tc at (0.000, 0.000, 0.500).

=====

Run ii
Entry from OQMD: a relaxed structure of Ta2Si2Tc (PBE-GGA).

The magnetization comes out at 3.42 μB/cell.

The space group is I4/mmm (No. 139) and the conventional cell measures 3.857, 3.857 and 11.254 Å, with angles of 90.00, 90.00 and 90.00 degrees. Symmetry generates all atoms from Ta at (0.000, 0.500, 0.250), Si at (0.000, 0.000, 0.096) and Tc at (0.000, 0.000, 0.500).

=====

Winner for stability: run i